An optimized crystal structure of NaLaAs2Se. Source: the Alexandria database, functional PBE-GGA.

size of the total moment = 0.00 Bohr magnetons per cell
raw formation energy = -14 kJ/mol of atoms
calculated density = 5.115 Mg/m³
energy = -19.77 eV per cell

```
data_NaLaAs2Se
_chemical_formula_sum 'Na1 La1 As2 Se1'
_symmetry_space_group_name_H-M 'P 4/m m m'
_symmetry_Int_Tables_number 123
_symmetry_space_group_name_Hall '-P 4 2'
_cell_length_a 4.987
_cell_length_b 4.987
_cell_length_c 5.101
_cell_angle_alpha 90.00
_cell_angle_beta 90.00
_cell_angle_gamma 90.00
loop_
_atom_site_label
_atom_site_type_symbol
_atom_site_fract_x
_atom_site_fract_y
_atom_site_fract_z
Na1 Na 0.000 0.000 0.000
La1 La 0.500 0.500 0.500
As1 As 0.000 0.500 0.000
Se1 Se 0.000 0.000 0.500
```